[1]
{"formula": "KTb4DySe8", "functional": "PBE", "state": "optimized geometry", "lattice_angstrom": [[-7.4819, 4.1181, 1.1346], [-4.9407, -1.8415, 6.8134], [-0.8497, 5.7119, 6.3745]], "species": ["K", "Tb", "Tb", "Tb", "Tb", "Dy", "Se", "Se", "Se", "Se", "Se", "Se", "Se", "Se"], "fractional_positions": [[0.3755, 0.3755, 0.8736], [0.6249, 0.6249, 0.1253], [0.0048, 0.4857, 0.5048], [0.4857, 0.0048, 0.5048], [0.0048, 0.0048, 0.5048], [0.0047, 0.0047, 0.9858], [0.2339, 0.7962, 0.7359], [0.7962, 0.2339, 0.7359], [0.2339, 0.2339, 0.7359], [0.2349, 0.2349, 0.2954], [0.7581, 0.2270, 0.2569], [0.2270, 0.7581, 0.2569], [0.7581, 0.7581, 0.2569], [0.7576, 0.7576, 0.7273]], "final_energy_ev_per_atom": -5.47, "mass_density_g_cm3": 5.4}

[2]
{"formula": "Sr3AlBi3", "functional": "PBE", "state": "optimized geometry", "lattice_angstrom": [[-2.3713, 6.4516, 1.7450], [0.8973, -6.0726, 9.2607], [13.1040, 4.3825, 1.6041]], "species": ["Sr", "Sr", "Sr", "Sr", "Sr", "Sr", "Sr", "Sr", "Sr", "Sr", "Sr", "Sr", "Al", "Al", "Al", "Al", "Bi", "Bi", "Bi", "Bi", "Bi", "Bi", "Bi", "Bi", "Bi", "Bi", "Bi", "Bi"], "fractional_positions": [[0.6938, 0.0000, 0.8573], [0.8062, 0.0000, 0.3573], [0.1938, 0.0000, 0.6427], [0.3062, 0.0000, 0.1427], [0.0249, 0.6485, 0.3729], [0.4751, 0.3515, 0.8729], [0.8763, 0.3515, 0.1271], [0.6237, 0.6485, 0.6271], [0.9751, 0.3515, 0.6271], [0.5249, 0.6485, 0.1271], [0.1237, 0.6485, 0.8729], [0.3763, 0.3515, 0.3729], [0.4135, 0.8269, 0.5000], [0.0865, 0.1731, 0.0000], [0.5865, 0.1731, 0.5000], [0.9135, 0.8269, 0.0000], [0.2136, 0.0000, 0.8886], [0.2864, 0.0000, 0.3886], [0.7136, 0.0000, 0.6114], [0.7864, 0.0000, 0.1114], [0.5541, 0.6775, 0.3748], [0.9459, 0.3225, 0.8748], [0.3766, 0.3225, 0.1252], [0.1234, 0.6775, 0.6252], [0.4459, 0.3225, 0.6252], [0.0541, 0.6775, 0.1252], [0.6234, 0.6775, 0.8748], [0.8766, 0.3225, 0.3748]], "formation_enthalpy_0k_ev_per_atom": -0.717, "mass_density_g_cm3": 5.9}

[3]
{"formula": "LaHo2Tl2", "functional": "PBE", "state": "optimized geometry", "lattice_angstrom": [[5.2018, 0.0000, 0.0000], [-2.6009, 4.5048, 0.0000], [0.0000, 0.0000, 12.9359]], "species": ["La", "La", "Ho", "Ho", "Ho", "Ho", "Tl", "Tl", "Tl", "Tl"], "fractional_positions": [[0.0000, 0.0000, 0.2500], [0.0000, 0.0000, 0.7500], [0.6667, 0.3333, 0.7500], [0.0000, 0.0000, 0.0000], [0.0000, 0.0000, 0.5000], [0.3333, 0.6667, 0.2500], [0.3333, 0.6667, 0.6241], [0.6667, 0.3333, 0.1241], [0.6667, 0.3333, 0.3759], [0.3333, 0.6667, 0.8759]], "formation_enthalpy_0k_ev_per_atom": 0.049, "mass_density_g_cm3": 9.6}

[4]
{"formula": "CaSm4Er", "functional": "PBE", "state": "optimized geometry", "lattice_angstrom": [[6.7232, 0.0000, 0.0000], [3.3616, 5.8225, 0.0000], [3.3616, 1.9408, 5.4895]], "species": ["Ca", "Sm", "Sm", "Sm", "Sm", "Er"], "fractional_positions": [[0.2500, 0.2500, 0.2500], [0.6267, 0.6267, 0.1198], [0.6267, 0.1198, 0.6267], [0.6267, 0.6267, 0.6267], [0.1198, 0.6267, 0.6267], [0.0000, 0.0000, 0.0000]], "polymorph_energy_mev_per_atom": 164.7, "formation_enthalpy_0k_ev_per_atom": 0.218, "mass_density_g_cm3": 6.2}

[5]
{"formula": "Ac12TlNi5", "functional": "PBE", "state": "optimized geometry", "lattice_angstrom": [[-1.3964, 2.4823, -8.7659], [8.2138, 3.1188, 2.7858], [0.0492, -9.1657, 0.9704]], "species": ["Ac", "Ac", "Ac", "Ac", "Ac", "Ac", "Ac", "Ac", "Ac", "Ac", "Ac", "Ac", "Tl", "Ni", "Ni", "Ni", "Ni", "Ni"], "fractional_positions": [[0.5113, 0.8197, 0.6916], [0.4887, 0.1803, 0.3084], [0.8719, 0.1803, 0.6916], [0.1281, 0.8197, 0.3084], [0.6872, 0.6757, 0.3629], [0.3128, 0.3243, 0.6371], [0.3128, 0.6757, 0.9885], [0.6872, 0.3243, 0.0115], [0.8144, 0.6168, 0.8024], [0.1856, 0.3832, 0.1976], [0.1856, 0.9879, 0.8024], [0.8144, 0.0121, 0.1976], [0.0000, 0.5000, 0.5000], [0.6260, 0.6260, 0.0000], [0.3740, 0.3740, 0.0000], [0.5000, 0.1199, 0.6199], [0.5000, 0.8801, 0.3801], [0.0000, 0.0000, 0.0000]], "formation_enthalpy_0k_ev_per_atom": -0.195, "mass_density_g_cm3": 8.9}

[6]
{"formula": "Cr2Ag2SbS6", "functional": "PBE", "state": "optimized geometry", "lattice_angstrom": [[6.2257, -0.1572, 1.0359], [-3.2137, 5.3344, 1.0359], [-0.1589, -0.2731, 7.6504]], "species": ["Cr", "Cr", "Ag", "Ag", "Sb", "S", "S", "S", "S", "S", "S"], "fractional_positions": [[0.3404, 0.6596, 0.5000], [0.6596, 0.3404, 0.5000], [0.8222, 0.1778, 0.0000], [0.1778, 0.8222, 0.0000], [0.0000, 0.0000, 0.5000], [0.5800, 0.5800, 0.6792], [0.9402, 0.3039, 0.6763], [0.4200, 0.4200, 0.3208], [0.3039, 0.9402, 0.6763], [0.0598, 0.6961, 0.3237], [0.6961, 0.0598, 0.3237]], "final_energy_ev_per_atom": -5.30, "mass_density_g_cm3": 4.1}

[7]
{"formula": "PRhCl", "functional": "PBE", "state": "optimized geometry", "lattice_angstrom": [[6.1893, 0.0499, -0.0445], [5.3295, 2.9760, 0.0709], [0.8597, -0.2199, 2.9202]], "species": ["Cl", "P", "Rh"], "fractional_positions": [[0.0296, 0.0296, 0.9704], [0.2863, 0.2863, 0.7137], [0.6841, 0.6841, 0.3159]], "polymorph_energy_mev_per_atom": 338.1, "mass_density_g_cm3": 5.3}

[8]
{"formula": "GdDyBeCd", "functional": "PBE", "state": "optimized geometry", "lattice_angstrom": [[5.1179, 0.0000, 0.0000], [2.5589, 4.4322, 0.0000], [2.5589, 1.4774, 4.1787]], "species": ["Cd", "Gd", "Be", "Dy"], "fractional_positions": [[0.7500, 0.7500, 0.7500], [0.0000, 0.0000, 0.0000], [0.2500, 0.2500, 0.2500], [0.5000, 0.5000, 0.5000]], "formation_enthalpy_0k_ev_per_atom": -0.038, "mass_density_g_cm3": 7.7}

[9]
{"formula": "MgGaPd5", "functional": "PBE", "state": "optimized geometry", "lattice_angstrom": [[-2.9839, -2.2704, -1.7579], [2.8368, -1.9380, -2.3120], [0.7138, -4.6046, 4.7355]], "species": ["Mg", "Ga", "Pd", "Pd", "Pd", "Pd", "Pd"], "fractional_positions": [[0.0000, 0.0000, 0.5000], [0.5000, 0.5000, 0.0000], [0.0000, 0.5000, 0.7811], [0.0000, 0.5000, 0.2189], [0.5000, 0.0000, 0.7811], [0.5000, 0.0000, 0.2189], [0.5000, 0.5000, 0.5000]], "polymorph_energy_mev_per_atom": 0.0, "formation_enthalpy_0k_ev_per_atom": -0.470, "mass_density_g_cm3": 9.1}

[10]
{"formula": "Tm3As5Se12", "functional": "PBE", "state": "optimized geometry", "lattice_angstrom": [[14.0527, 0.0000, 0.0000], [-4.6842, 13.2490, 0.0000], [-4.6842, -6.6245, 11.4739]], "species": ["As", "As", "As", "As", "As", "As", "As", "As", "As", "As", "As", "As", "As", "As", "As", "As", "As", "As", "As", "As", "Tm", "Tm", "Tm", "Tm", "Tm", "Tm", "Tm", "Tm", "Tm", "Tm", "Tm", "Tm", "Se", "Se", "Se", "Se", "Se", "Se", "Se", "Se", "Se", "Se", "Se", "Se", "Se", "Se", "Se", "Se", "Se", "Se", "Se", "Se", "Se", "Se", "Se", "Se", "Se", "Se", "Se", "Se", "Se", "Se", "Se", "Se", "Se", "Se", "Se", "Se", "Se", "Se", "Se", "Se", "Se", "Se", "Se", "Se", "Se", "Se", "Se", "Se"], "fractional_positions": [[0.1250, 0.3750, 0.2500], [0.0000, 0.5000, 0.0000], [0.0000, 0.0000, 0.0000], [0.3750, 0.2500, 0.1250], [0.5000, 0.0000, 0.5000], [0.5000, 0.5000, 0.0000], [0.1250, 0.7500, 0.3750], [0.7500, 0.1250, 0.8750], [0.7500, 0.6250, 0.3750], [0.3750, 0.1250, 0.7500], [0.6250, 0.8750, 0.2500], [0.5000, 0.5000, 0.5000], [0.5000, 0.0000, 0.0000], [0.0000, 0.0000, 0.5000], [0.2500, 0.3750, 0.6250], [0.2500, 0.8750, 0.1250], [0.0000, 0.5000, 0.5000], [0.8750, 0.2500, 0.6250], [0.6250, 0.7500, 0.8750], [0.8750, 0.6250, 0.7500], [0.7500, 0.3750, 0.1250], [0.8750, 0.7500, 0.1250], [0.3750, 0.7500, 0.6250], [0.2500, 0.1250, 0.3750], [0.8750, 0.1250, 0.2500], [0.3750, 0.6250, 0.2500], [0.6250, 0.3750, 0.7500], [0.1250, 0.8750, 0.7500], [0.7500, 0.8750, 0.6250], [0.6250, 0.2500, 0.3750], [0.1250, 0.2500, 0.8750], [0.2500, 0.6250, 0.8750], [0.7170, 0.1342, 0.0465], [0.3294, 0.5465, 0.4123], [0.9535, 0.3658, 0.2830], [0.5465, 0.2170, 0.1342], [0.5828, 0.7170, 0.6706], [0.9535, 0.5877, 0.1706], [0.3294, 0.7830, 0.4172], [0.0877, 0.9172, 0.1342], [0.5877, 0.9535, 0.6706], [0.7170, 0.5828, 0.1706], [0.7830, 0.4535, 0.3658], [0.8294, 0.9123, 0.0465], [0.1342, 0.7170, 0.5465], [0.3658, 0.4123, 0.0828], [0.0828, 0.9123, 0.3658], [0.4172, 0.1342, 0.5877], [0.0828, 0.1706, 0.2170], [0.4535, 0.6706, 0.0877], [0.8294, 0.9172, 0.2830], [0.1342, 0.4172, 0.0877], [0.3658, 0.9535, 0.7830], [0.5877, 0.6342, 0.4172], [0.9123, 0.8294, 0.5465], [0.7830, 0.3294, 0.9172], [0.4123, 0.3658, 0.5828], [0.0877, 0.1706, 0.4535], [0.2170, 0.6706, 0.0828], [0.1706, 0.0828, 0.7170], [0.6342, 0.0465, 0.2170], [0.8658, 0.5828, 0.9123], [0.5465, 0.3294, 0.9123], [0.5828, 0.8658, 0.4123], [0.9172, 0.8294, 0.7830], [0.9172, 0.0877, 0.6342], [0.8658, 0.2830, 0.4535], [0.1706, 0.0877, 0.9535], [0.6342, 0.5877, 0.9172], [0.4123, 0.0465, 0.3294], [0.2830, 0.4172, 0.8294], [0.2170, 0.5465, 0.6342], [0.9123, 0.0828, 0.8658], [0.6706, 0.2170, 0.5828], [0.4535, 0.7830, 0.8658], [0.0465, 0.4123, 0.8294], [0.4172, 0.2830, 0.3294], [0.0465, 0.6342, 0.7170], [0.6706, 0.4535, 0.5877], [0.2830, 0.8658, 0.9535]], "final_energy_ev_per_atom": -4.53, "mass_density_g_cm3": 5.7}

[11]
{"formula": "CaBeP2", "functional": "PBE", "state": "optimized geometry", "lattice_angstrom": [[4.7701, -0.0139, -0.0062], [-0.4920, 4.7447, 0.0062], [-1.0413, -3.3582, 3.2238]], "species": ["P", "P", "Ca", "Be"], "fractional_positions": [[0.0729, 0.0729, 0.0000], [0.4271, 0.4271, 0.0000], [0.7500, 0.2500, 0.5000], [0.2500, 0.7500, 0.5000]], "formation_enthalpy_0k_ev_per_atom": -0.313, "mass_density_g_cm3": 2.5}

[12]
{"formula": "VPd5Pt6", "functional": "PBE", "state": "optimized geometry", "lattice_angstrom": [[3.7570, 0.0134, -1.0950], [-1.0813, 6.9583, -3.6250], [0.1039, -0.6668, 7.3411]], "species": ["Pt", "Pt", "Pt", "Pt", "Pt", "Pt", "Pd", "Pd", "Pd", "Pd", "Pd", "V"], "fractional_positions": [[0.8360, 0.5914, 0.6719], [0.8359, 0.0805, 0.6719], [0.5000, 0.7618, 0.0000], [0.5000, 0.2382, 0.0000], [0.1641, 0.9195, 0.3281], [0.1640, 0.4086, 0.3281], [0.6648, 0.1648, 0.3297], [0.3358, 0.3358, 0.6716], [0.0000, 0.5000, 0.0000], [0.6642, 0.6642, 0.3284], [0.3352, 0.8352, 0.6703], [0.0000, 0.0000, 0.0000]], "formation_enthalpy_0k_ev_per_atom": -0.204, "mass_density_g_cm3": 15.9}

[13]
{"formula": "LiScTc2", "functional": "PBE", "state": "optimized geometry", "lattice_angstrom": [[5.2843, -0.0029, 0.0097], [-2.6208, 4.5886, 0.0097], [0.4463, 0.7684, 2.5550]], "species": ["Li", "Sc", "Tc", "Tc"], "fractional_positions": [[0.5000, 0.0000, 0.5000], [0.0000, 0.5000, 0.5000], [0.0000, 0.0000, 0.0000], [0.5000, 0.5000, 0.0000]], "polymorph_energy_mev_per_atom": 178.5, "formation_enthalpy_0k_ev_per_atom": 0.138, "mass_density_g_cm3": 6.7}

[14]
{"formula": "ReTc2Sb", "functional": "PBE", "state": "optimized geometry", "lattice_angstrom": [[5.0376, 0.0139, 0.0000], [2.0227, 4.6137, 0.0000], [-3.5301, -2.3138, 2.7499]], "species": ["Re", "Sb", "Tc", "Tc"], "fractional_positions": [[0.5000, 0.5000, 0.0000], [0.7500, 0.2500, 0.5000], [0.0000, 0.0000, 0.0000], [0.2500, 0.7500, 0.5000]], "final_energy_ev_per_atom": -8.95, "mass_density_g_cm3": 13.1}

[15]
{"formula": "PrTm2Pd", "functional": "PBE", "state": "optimized geometry", "lattice_angstrom": [[3.8722, 0.0000, 0.0000], [1.9361, 3.3535, 0.0000], [1.9361, 1.1178, 9.1200]], "species": ["Pr", "Tm", "Tm", "Pd"], "fractional_positions": [[0.5019, 0.5019, 0.4943], [0.0602, 0.0602, 0.8193], [0.2722, 0.2722, 0.1835], [0.6657, 0.6657, 0.0029]], "polymorph_energy_mev_per_atom": 127.6, "formation_enthalpy_0k_ev_per_atom": -0.336, "mass_density_g_cm3": 8.2}

[16]
{"formula": "Y2InIr", "functional": "PBE", "state": "optimized geometry", "lattice_angstrom": [[-1.4482, -2.2346, 5.9556], [-3.9742, -5.0098, 1.2911], [5.3282, 2.3322, -2.9548]], "species": ["In", "Ir", "Y", "Y"], "fractional_positions": [[0.4474, 0.4474, 0.0000], [0.2494, 0.7494, 0.5000], [0.0488, 0.0488, 0.0000], [0.7545, 0.2545, 0.5000]], "formation_enthalpy_0k_ev_per_atom": -0.526, "mass_density_g_cm3": 8.3}

[17]
{"formula": "Nd2SmThSb5", "functional": "PBE", "state": "optimized geometry", "lattice_angstrom": [[-1.1480, -5.1942, 0.3338], [5.2035, -1.1534, -0.0528], [0.2768, 0.7039, 11.9064]], "species": ["Nd", "Nd", "Sm", "Th", "Sb", "Sb", "Sb", "Sb", "Sb"], "fractional_positions": [[0.5000, 0.5000, 0.2854], [0.5000, 0.5000, 0.7146], [0.0000, 0.0000, 0.5000], [0.0000, 0.0000, 0.0000], [0.0000, 0.5000, 0.5000], [0.5000, 0.0000, 0.5000], [0.0000, 0.0000, 0.7528], [0.0000, 0.0000, 0.2472], [0.5000, 0.5000, 0.0000]], "final_energy_ev_per_atom": -4.90, "mass_density_g_cm3": 6.3}

[18]
{"formula": "TeSe", "functional": "PBE", "state": "optimized geometry", "lattice_angstrom": [[3.8281, 0.0000, 0.0000], [0.0000, 3.9339, 0.0000], [0.0000, 0.0000, 8.4837]], "species": ["Se", "Se", "Te", "Te"], "fractional_positions": [[0.0000, 0.0000, 0.9563], [0.0000, 0.5000, 0.3770], [0.5000, 0.0000, 0.4666], [0.5000, 0.5000, 0.8667]], "final_energy_ev_per_atom": -3.21, "mass_density_g_cm3": 5.4}

[19]
{"formula": "Na2SeO4", "functional": "PBE", "state": "optimized geometry", "lattice_angstrom": [[-2.0005, -2.5334, 4.6561], [4.3529, -3.6224, -0.1712], [0.9736, 5.5539, 0.0284]], "species": ["Na", "Na", "Se", "O", "O", "O", "O"], "fractional_positions": [[0.2501, 0.7499, 0.5000], [0.7501, 0.2499, 0.5000], [0.0000, 0.0000, 0.0000], [0.7087, 0.9446, 0.0000], [0.0554, 0.2913, 0.0000], [0.2910, 0.0555, 0.3465], [0.9445, 0.7090, 0.6535]], "final_energy_ev_per_atom": -5.04, "mass_density_g_cm3": 2.5}

[20]
{"formula": "Pr3Ho6Er2Sc", "functional": "PBE", "state": "optimized geometry", "lattice_angstrom": [[6.1565, 0.0001, -0.0056], [-3.0767, 5.3326, -0.0056], [-1.0153, -1.7580, 11.5569]], "species": ["Pr", "Pr", "Pr", "Ho", "Ho", "Ho", "Ho", "Ho", "Ho", "Er", "Er", "Sc"], "fractional_positions": [[0.1665, 0.8335, 0.5000], [0.8335, 0.1665, 0.5000], [0.5000, 0.5000, 0.5000], [0.9199, 0.5890, 0.7578], [0.7491, 0.7491, 0.2423], [0.0801, 0.4110, 0.2422], [0.5890, 0.9199, 0.7578], [0.2509, 0.2509, 0.7577], [0.4110, 0.0801, 0.2422], [0.3335, 0.6665, 0.0000], [0.6665, 0.3335, 0.0000], [0.0000, 0.0000, 0.0000]], "formation_enthalpy_0k_ev_per_atom": 0.034, "mass_density_g_cm3": 7.8}

Computed values of total moment (unit: μB per atom) for the preceding records, in sequence: 0.00, 0.00, 0.00, 0.00, 0.00, 0.45, 0.00, 1.94, 0.00, 0.00, 0.00, 0.00, 0.00, 0.00, 0.00, 0.00, 0.00, 0.00, 0.02, 0.00.